# K3Pu2ScTe6 (GGA-PBE, relaxed)
# total moment	10.00	Bohr magnetons per cell
# symmetry	C2/m (12)
# energy relative to the elements, uncorrected	-1.1495	eV per atom
# final energy	-5.911	eV per atom
data_K3Pu2ScTe6
_cell_length_a 7.768
_cell_length_b 7.768
_cell_length_c 8.595
_cell_angle_alpha 98.68
_cell_angle_beta 98.68
_cell_angle_gamma 120.01
_space_group_name_H-M_alt 'P 1'
_space_group_IT_number 1
_space_group_name_Hall 'P 1'
loop_
_atom_site_label
_atom_site_fract_x
_atom_site_fract_y
_atom_site_fract_z
K1 0.000 0.000 0.000
K2 0.330 0.670 0.000
K3 0.670 0.330 0.000
Pu1 0.166 0.834 0.500
Pu2 0.834 0.166 0.500
Sc1 0.500 0.500 0.500
Te1 0.112 0.432 0.295
Te2 0.249 0.249 0.706
Te3 0.432 0.112 0.295
Te4 0.568 0.888 0.705
Te5 0.751 0.751 0.294
Te6 0.888 0.568 0.705